Material: Mn2VRu
Method: DFT, PBE-GGA
State: relaxed

Output
D(E_F) ... 1.504 states/eV per atom
ΔE to the lowest computed polymorph ... 550 meV per atom
Energy of formation from the pure elements ... 0.529 eV/atom
Space group ... I-42d (122)
VASP energy ... -8.65 eV/atom

Structure (POSCAR):
```
Mn2VRu
1.0
3.432 0.000 0.000
0.000 3.432 0.000
1.716 1.716 9.076
Ru Mn V
2 4 2
Direct
0.000 0.000 0.000 Ru
0.750 0.250 0.500 Ru
0.572 0.125 0.250 Mn
0.178 0.625 0.250 Mn
0.375 0.428 0.750 Mn
0.875 0.822 0.750 Mn
0.500 0.500 0.000 V
0.250 0.750 0.500 V
```